A relaxed Li2AsF crystal. Source: Alexandria via LeMat-Bulk, functional GGA-PBE.

Computed properties:
Formation energy (no corrections)   -1.42 eV per atom
Offset from the most stable computed form   226 meV/atom
Theoretical density   2.95 g cm⁻³
Spin magnetization   0.0 μB per formula unit

abc: 5.7142 5.7142 7.4230
angles: 90.00 90.00 90.00
Closest atoms and distances in Å follow each position.
Space group I-42d (No. 122)
Symmetry-distinct sites (fractional):
Li 0.1227 0.2500 0.1250 [8 per cell]  2 F 1.84
As 0.0000 0.0000 0.5000 [4 per cell]  4 Li 2.75
F 0.0000 0.0000 0.0000 [4 per cell]  4 Li 1.84

---

A relaxed YHgSe4 crystal. Source: Alexandria via LeMat-Bulk, functional GGA-PBE.

Computed properties:
Formation energy (no corrections)   -0.13 eV per atom
Theoretical density   7.11 g cm⁻³
Spin magnetization   0.0 μB per formula unit

abc: 8.2676 8.2676 8.2676
angles: 90.00 90.00 90.00
Closest atoms and distances in Å follow each position.
Space group F-43m (No. 216)
Symmetry-distinct sites (fractional):
Y 0.0000 0.0000 0.0000 [4 per cell]  12 Se 3.43, 4 Hg 3.58
Hg 0.2500 0.2500 0.7500 [4 per cell]  12 Se 3.43, 4 Y 3.58
Se 0.1253 0.1253 0.3747 [16 per cell]  6 Se 2.92-2.93

---

Question: formation energy (no corrections) of number 2 (YHgSe4)?
Answer: -0.13 eV per atom

---

Question: The lowest theoretical density belongs to which entry?
Answer: Li2AsF